DFT (GGA-PBE) results for Er2HfCd after structural relaxation.

a = 3.3916 Å, b = 3.3916 Å, c = 8.9523 Å
α = 90.00°, β = 90.00°, γ = 90.00°
Positions (direct):
Er (0.0000, 0.0000, 0.2485)
Er (0.0000, 0.0000, 0.7515)
Cd (0.5000, 0.5000, 0.0000)
Hf (0.5000, 0.5000, 0.5000)

Properties
Energy ... -5.11 eV per atom
Energy of formation ... -0.1099 eV/atom
Space-group type ... P4/mmm, No. 123